No. 1
Crystalline AcPrIN at its relaxed geometry, computed with GGA-PBE.

Geometry as POSCAR:
```
AcPrIN
1.0
3.8975 -0.0078 -0.0010
-1.9546 3.3782 0.0004
-1.9481 -1.1203 8.1320
I N Ac Pr
1 1 1 1
Direct
0.9576 0.3765 0.3492 I
0.3156 0.5559 0.8869 N
0.5202 0.1575 0.6935 Ac
0.0844 0.9409 0.0400 Pr
```

Properties
- symmetry = Cm
- E (eV per atom) = -5.809
- E_form (uncorrected) (eV/atom) = -1.118

=====

No. 2
Crystalline SrMnIr2 at its relaxed geometry, computed with GGA-PBE.

Geometry as POSCAR:
```
SrMnIr2
1.0
3.0648 0.0000 0.0000
0.0000 4.9330 0.0000
0.0000 0.0000 4.7104
Sr Ir Mn
1 2 1
Direct
0.0000 0.5000 0.5000 Sr
0.5000 0.5000 0.0000 Ir
0.0000 0.0000 0.0000 Ir
0.5000 0.0000 0.5000 Mn
```

Properties
- symmetry = Pmmm
- E (eV per atom) = -6.647
- ΔE to the lowest computed polymorph (eV per atom) = 0.570
- ΔH_f (0 K) (meV/atom) = 496

=====

No. 3
Crystalline CsKAuF at its relaxed geometry, computed with GGA-PBE.

Geometry as POSCAR:
```
CsKAuF
1.0
5.6221 0.0000 0.0000
2.8110 4.8689 0.0000
2.8110 1.6230 4.5904
Cs Au K F
1 1 1 1
Direct
0.0000 0.0000 0.0000 Cs
0.7500 0.7500 0.7500 Au
0.5000 0.5000 0.5000 K
0.2500 0.2500 0.2500 F
```

Properties
- symmetry = F-43m
- E (eV per atom) = -3.032
- E_form (uncorrected) (eV/atom) = -1.258

=====

No. 4
Crystalline Mn2NiRu at its relaxed geometry, computed with GGA-PBE.

Geometry as POSCAR:
```
Mn2NiRu
1.0
2.6025 0.0197 0.0000
-0.0198 2.6025 0.0000
0.0000 0.0000 7.2016
Ni Mn Ru
1 2 1
Direct
0.0000 0.0000 0.4930 Ni
0.0000 0.0000 0.0034 Mn
0.5000 0.5000 0.2478 Mn
0.5000 0.5000 0.7557 Ru
```

Properties
- symmetry = P4mm
- E (eV per atom) = -8.264
- ΔH_f (0 K) (meV/atom) = 85

=====

No. 5
Crystalline Sm4Ir2Cl at its relaxed geometry, computed with GGA-PBE.

Geometry as POSCAR:
```
Sm4Ir2Cl
1.0
8.3613 0.0000 -1.4349
-4.8992 5.9979 -3.4630
1.4371 0.0000 8.3609
Sm Ir Cl
8 4 2
Direct
0.1404 0.2805 0.4208 Sm
0.5792 0.7195 0.8597 Sm
0.1401 0.2805 0.8596 Sm
0.6097 0.2195 0.8292 Sm
0.6096 0.7805 0.3901 Sm
0.1708 0.7805 0.3904 Sm
0.1403 0.7195 0.8599 Sm
0.6099 0.2195 0.3903 Sm
0.3750 0.7500 0.1250 Ir
0.3750 0.7500 0.6250 Ir
0.3750 0.2500 0.6250 Ir
0.8750 0.2500 0.6250 Ir
0.7500 0.5000 0.2500 Cl
0.0000 0.0000 0.0000 Cl
```

Properties
- symmetry = Fd-3m
- E (eV per atom) = -6.414
- E_form (uncorrected) (eV/atom) = -0.922

=====

No. 6
Crystalline CoPt2Br at its relaxed geometry, computed with GGA-PBE.

Geometry as POSCAR:
```
CoPt2Br
1.0
-0.5714 -0.2474 2.7825
3.7285 -2.9097 0.5069
2.8313 3.7881 0.9183
Br Pt Co
1 2 1
Direct
0.5000 0.0000 0.5000 Br
0.0000 0.0000 0.0000 Pt
0.5000 0.5000 0.0000 Pt
0.0000 0.5000 0.5000 Co
```

Properties
- symmetry = Pmmm
- E (eV per atom) = -4.620
- ΔE to the lowest computed polymorph (eV per atom) = 0.302
- E_form (uncorrected) (eV/atom) = 0.595

=====

No. 7
Crystalline Li2AlBr5 at its relaxed geometry, computed with GGA-PBE.

Geometry as POSCAR:
```
Li2AlBr5
1.0
7.5908 0.0000 0.0000
0.0000 11.0241 0.0000
0.0000 0.0000 12.9908
Li Br Al
8 20 4
Direct
0.5000 0.5509 0.7656 Li
0.0000 0.9491 0.2656 Li
0.7786 0.0000 0.0000 Li
0.0000 0.0509 0.7344 Li
0.5000 0.4491 0.2344 Li
0.7214 0.5000 0.5000 Li
0.2214 0.0000 0.0000 Li
0.2786 0.5000 0.5000 Li
0.0000 0.8261 0.6611 Br
0.5000 0.3261 0.8389 Br
0.2428 0.6413 0.8696 Br
0.7572 0.6413 0.8696 Br
0.0000 0.1308 0.9099 Br
0.5000 0.6308 0.5901 Br
0.5000 0.9842 0.8544 Br
0.7428 0.1413 0.6304 Br
0.0000 0.4842 0.6456 Br
0.5000 0.6739 0.1611 Br
0.0000 0.1739 0.3389 Br
0.0000 0.5158 0.3544 Br
0.2572 0.1413 0.6304 Br
0.7428 0.8587 0.3696 Br
0.2572 0.8587 0.3696 Br
0.0000 0.8692 0.0901 Br
0.5000 0.0158 0.1456 Br
0.5000 0.3692 0.4099 Br
0.2428 0.3587 0.1304 Br
0.7572 0.3587 0.1304 Br
0.0000 0.6513 0.7609 Al
0.0000 0.3487 0.2391 Al
0.5000 0.1513 0.7391 Al
0.5000 0.8487 0.2609 Al
```

Properties
- symmetry = Pnnm
- E (eV per atom) = -3.304
- E_form (uncorrected) (eV/atom) = -1.312

=====

No. 8
Crystalline Pm12Si6Pb at its relaxed geometry, computed with GGA-PBE.

Geometry as POSCAR:
```
Pm12Si6Pb
1.0
-8.6466 1.5900 -1.0363
2.9803 -4.7058 -6.8803
1.2858 -4.5642 7.4753
Si Pm Pb
6 12 1
Direct
0.1143 0.6143 0.5000 Si
0.5000 0.8857 0.3857 Si
0.3857 0.5000 0.8857 Si
0.5000 0.1143 0.6143 Si
0.8857 0.3857 0.5000 Si
0.6143 0.5000 0.1143 Si
0.7018 0.5132 0.8113 Pm
0.8113 0.2982 0.1095 Pm
0.2982 0.4868 0.1887 Pm
0.1887 0.2982 0.4868 Pm
0.7018 0.8905 0.1887 Pm
0.1095 0.8113 0.2982 Pm
0.8905 0.1887 0.7018 Pm
0.2982 0.1095 0.8113 Pm
0.4868 0.1887 0.2982 Pm
0.8113 0.7018 0.5132 Pm
0.1887 0.7018 0.8905 Pm
0.5132 0.8113 0.7018 Pm
0.0000 0.0000 0.0000 Pb
```

Properties
- symmetry = Im-3
- E (eV per atom) = -5.463
- E_form (uncorrected) (eV/atom) = -0.555

=====

No. 9
Crystalline Ac8TbNd6 at its relaxed geometry, computed with GGA-PBE.

Geometry as POSCAR:
```
Ac8TbNd6
1.0
-7.4379 -4.2037 -3.5901
-0.4807 -9.0276 2.0380
-6.4941 -2.0225 6.2943
Ac Nd Tb
8 6 1
Direct
0.7324 0.7324 0.7324 Ac
0.5898 0.8632 0.1758 Ac
0.4102 0.1368 0.8242 Ac
0.1368 0.8242 0.4102 Ac
0.8632 0.1758 0.5898 Ac
0.1758 0.5898 0.8632 Ac
0.8242 0.4102 0.1368 Ac
0.2676 0.2676 0.2676 Ac
0.6798 0.0620 0.3707 Nd
0.3202 0.9380 0.6293 Nd
0.6293 0.3202 0.9380 Nd
0.3707 0.6798 0.0620 Nd
0.9380 0.6293 0.3202 Nd
0.0620 0.3707 0.6798 Nd
0.0000 0.0000 0.0000 Tb
```

Properties
- symmetry = R-3
- E (eV per atom) = -4.178
- ΔH_f (0 K) (meV/atom) = 229

=====

No. 10
Crystalline BeCo2HPt at its relaxed geometry, computed with GGA-PBE.

Geometry as POSCAR:
```
BeCo2HPt
1.0
-1.0071 -3.2593 0.7590
3.3460 -0.9945 0.1692
0.0666 0.8874 3.8993
H Co Be Pt
1 2 1 1
Direct
0.0000 0.0000 0.0000 H
0.5000 0.0000 0.0000 Co
0.0000 0.5000 0.0000 Co
0.5000 0.5000 0.5000 Be
0.0000 0.0000 0.5000 Pt
```

Properties
- symmetry = P4/mmm
- E (eV per atom) = -5.553
- ΔE to the lowest computed polymorph (eV per atom) = 0.017

=====

No. 11
Crystalline CdCu2Re at its relaxed geometry, computed with GGA-PBE.

Geometry as POSCAR:
```
CdCu2Re
1.0
4.3113 0.0000 0.0000
0.0000 2.6436 0.0081
0.0000 1.3249 5.1528
Cu Re Cd
2 1 1
Direct
0.0000 0.1886 0.9994 Cu
0.5000 0.0542 0.2663 Cu
0.0000 0.4581 0.4569 Re
0.5000 0.7991 0.7773 Cd
```

Properties
- symmetry = Pm
- E (eV per atom) = -4.984
- ΔH_f (0 K) (meV/atom) = 405

=====

No. 12
Crystalline YBe4W at its relaxed geometry, computed with GGA-PBE.

Geometry as POSCAR:
```
YBe4W
1.0
0.0000 3.3627 3.3627
3.3627 0.0000 3.3627
3.3627 3.3627 0.0000
W Be Y
1 4 1
Direct
0.2500 0.2500 0.2500 W
0.6214 0.6214 0.6214 Be
0.6214 0.6214 0.1357 Be
0.6214 0.1357 0.6214 Be
0.1357 0.6214 0.6214 Be
0.0000 0.0000 0.0000 Y
```

Properties
- symmetry = F-43m
- E (eV per atom) = -5.557
- ΔH_f (0 K) (meV/atom) = 163